Entry from Alexandria via LeMat-Bulk: a geometry-optimized Li3BiH structure (GGA-PBE).

Calculated values
The calculation puts the energy above the most stable polymorph in this dataset at 74.2 meV per atom.

Lattice parameters (Å, degrees): 7.3605 5.5714 10.0021 90.00 116.65 90.00
Space group P2_1/c (No. 14)
Unique sites:
Li: 0.0026 0.0582 0.3731
Li: 0.2386 0.5297 0.5983
Li: 0.3734 0.5006 0.0968
Bi: 0.3338 0.1459 0.8672
H: 0.1212 0.6819 0.0202